Record 1
Material: CrAg3
Method: DFT, PBE
State: relaxed

a = 2.932 Å, b = 2.932 Å, c = 9.445 Å
α = 90.00°, β = 90.00°, γ = 120.00°
Positions (direct):
Cr 0.000 0.000 0.000
Ag 0.000 0.000 0.500
Ag 0.667 0.333 0.243
Ag 0.667 0.333 0.757

Values from the calculation:
Symmetry   P-6m2
Magnetic moment   3.9 μB per formula unit
Energy relative to the elements   34 kJ/mol of atoms
Fermi-level density of states   0.5694 states/eV per atom
VASP energy   -0.308 Ry/atom
Density   8.9 g/cm3


Record 2
Material: CrAg3
Method: DFT, PBE
State: relaxed

a = 5.115 Å, b = 9.536 Å, c = 5.793 Å
α = 90.00°, β = 90.00°, γ = 90.00°
Positions (direct):
Cr 0.076 0.250 0.114
Cr 0.424 0.750 0.614
Cr 0.576 0.250 0.386
Cr 0.924 0.750 0.886
Ag 0.077 0.250 0.615
Ag 0.249 0.501 0.871
Ag 0.249 0.999 0.871
Ag 0.251 0.001 0.371
Ag 0.251 0.499 0.371
Ag 0.423 0.750 0.115
Ag 0.577 0.250 0.885
Ag 0.749 0.501 0.629
Ag 0.749 0.999 0.629
Ag 0.751 0.001 0.129
Ag 0.751 0.499 0.129
Ag 0.923 0.750 0.385

Values from the calculation:
Symmetry   Pnma
Magnetic moment   4.3 μB per formula unit
Energy relative to the elements   30 kJ/mol of atoms
Fermi-level density of states   0.3750 states/eV per atom
VASP energy   -0.311 Ry/atom
Density   8.8 g/cm3


Record 3
Material: CrAg
Method: DFT, PBE
State: relaxed

a = 2.952 Å, b = 4.808 Å, c = 4.910 Å
α = 90.00°, β = 90.00°, γ = 90.00°
Positions (direct):
Cr 0.250 0.250 0.090
Cr 0.750 0.750 0.910
Ag 0.250 0.750 0.403
Ag 0.750 0.250 0.597

Values from the calculation:
Symmetry   Pmmn
Magnetic moment   4.1 μB per formula unit
Energy relative to the elements   66 kJ/mol of atoms
Fermi-level density of states   1.1838 states/eV per atom
VASP energy   -0.408 Ry/atom
Density   7.6 g/cm3


Record 4
Material: CrAg3
Method: DFT, PBE
State: relaxed

a = 4.777 Å, b = 5.834 Å, c = 5.043 Å
α = 90.00°, β = 90.00°, γ = 90.00°
Positions (direct):
Cr 0.250 0.250 0.166
Cr 0.750 0.750 0.834
Ag 0.250 0.501 0.669
Ag 0.250 0.750 0.166
Ag 0.250 0.999 0.669
Ag 0.750 0.001 0.331
Ag 0.750 0.250 0.834
Ag 0.750 0.499 0.331

Values from the calculation:
Symmetry   Pmmn
Magnetic moment   4.2 μB per formula unit
Energy relative to the elements   27 kJ/mol of atoms
Fermi-level density of states   0.4297 states/eV per atom
VASP energy   -0.313 Ry/atom
Density   8.9 g/cm3


Record 5
Material: CrAg
Method: DFT, PBE
State: relaxed

a = 4.193 Å, b = 4.193 Å, c = 5.506 Å
α = 90.00°, β = 90.00°, γ = 120.00°
Positions (direct):
Cr 0.333 0.667 0.250
Cr 0.667 0.333 0.750
Ag 0.000 0.000 0.000
Ag 0.000 0.000 0.500

Values from the calculation:
Symmetry   P6_3/mmc
Magnetic moment   4.6 μB per formula unit
Energy relative to the elements   89 kJ/mol of atoms
Fermi-level density of states   0.6831 states/eV per atom
VASP energy   -0.391 Ry/atom
Density   6.3 g/cm3


Record 6
Material: CrAg2
Method: DFT, PBE
State: relaxed

a = 5.265 Å, b = 5.265 Å, c = 5.265 Å
α = 100.56°, β = 100.56°, γ = 129.31°
Positions (direct):
Cr 0.250 0.250 0.000
Cr 0.750 0.750 0.000
Ag 0.151 0.651 0.802
Ag 0.349 0.151 0.500
Ag 0.651 0.849 0.500
Ag 0.849 0.349 0.198

Values from the calculation:
Symmetry   I4/mcm
Magnetic moment   2.4 μB per formula unit
Energy relative to the elements   57 kJ/mol of atoms
Fermi-level density of states   0.5367 states/eV per atom
VASP energy   -0.332 Ry/atom
Density   8.7 g/cm3


Record 7
Material: CrAg
Method: DFT, PBE
State: relaxed

a = 3.873 Å, b = 3.873 Å, c = 3.873 Å
α = 60.00°, β = 60.00°, γ = 60.00°
Positions (direct):
Cr 0.000 0.000 0.000
Ag 0.500 0.500 0.500

Values from the calculation:
Symmetry   Fm-3m
Magnetic moment   4.5 μB per formula unit
Energy relative to the elements   97 kJ/mol of atoms
Fermi-level density of states   0.8348 states/eV per atom
VASP energy   -0.385 Ry/atom
Density   6.5 g/cm3


Record 8
Material: CrAg2
Method: DFT, PBE
State: relaxed

a = 5.796 Å, b = 4.159 Å, c = 8.735 Å
α = 90.00°, β = 90.00°, γ = 90.00°
Positions (direct):
Cr 0.137 0.250 0.089
Cr 0.363 0.750 0.589
Cr 0.637 0.250 0.411
Cr 0.863 0.750 0.911
Ag 0.114 0.250 0.755
Ag 0.137 0.250 0.420
Ag 0.363 0.750 0.920
Ag 0.386 0.750 0.255
Ag 0.614 0.250 0.745
Ag 0.637 0.250 0.080
Ag 0.863 0.750 0.580
Ag 0.886 0.750 0.245

Values from the calculation:
Symmetry   Pnma
Magnetic moment   4.3 μB per formula unit
Energy relative to the elements   38 kJ/mol of atoms
Fermi-level density of states   0.4715 states/eV per atom
VASP energy   -0.346 Ry/atom
Density   8.4 g/cm3


Record 9
Material: Cr4Ag
Method: DFT, PBE
State: relaxed

a = 4.986 Å, b = 4.986 Å, c = 4.986 Å
α = 90.00°, β = 90.00°, γ = 90.00°
Positions (direct):
Cr 0.000 0.000 0.000
Cr 0.000 0.500 0.500
Cr 0.500 0.000 0.500
Cr 0.500 0.500 0.000
Ag 0.500 0.500 0.500

Values from the calculation:
Offset from the most stable computed form   1113 meV/atom
Symmetry   Pm-3m
Magnetic moment   17.8 μB per formula unit
Energy relative to the elements   181 kJ/mol of atoms
Fermi-level density of states   1.4679 states/eV per atom
VASP energy   -0.470 Ry/atom
Density   4.2 g/cm3


Record 10
Material: CrAg2
Method: DFT, PBE
State: relaxed

a = 13.087 Å, b = 13.087 Å, c = 13.087 Å
α = 167.25°, β = 167.25°, γ = 18.07°
Positions (direct):
Cr 0.375 0.625 0.750
Cr 0.625 0.375 0.250
Ag 0.048 0.798 0.250
Ag 0.202 0.952 0.250
Ag 0.798 0.048 0.750
Ag 0.952 0.202 0.750

Values from the calculation:
Symmetry   I4_1/amd
Magnetic moment   4.1 μB per formula unit
Energy relative to the elements   47 kJ/mol of atoms
Fermi-level density of states   0.8463 states/eV per atom
VASP energy   -0.340 Ry/atom
Density   8.1 g/cm3


Record 11
Material: CrAg3
Method: DFT, PBE
State: relaxed

a = 5.540 Å, b = 5.540 Å, c = 5.540 Å
α = 147.84°, β = 62.66°, γ = 127.79°
Positions (direct):
Cr 0.000 0.000 0.000
Ag 0.385 0.636 0.749
Ag 0.499 0.999 0.500
Ag 0.887 0.636 0.251

Values from the calculation:
Symmetry   Imm2
Magnetic moment   4.4 μB per formula unit
Energy relative to the elements   30 kJ/mol of atoms
Fermi-level density of states   0.2810 states/eV per atom
VASP energy   -0.311 Ry/atom
Density   8.8 g/cm3


Record 12
Material: Cr7Ag
Method: DFT, PBE
State: relaxed

a = 5.206 Å, b = 5.206 Å, c = 5.206 Å
α = 60.00°, β = 60.00°, γ = 60.00°
Positions (direct):
Cr 0.000 0.000 0.000
Cr 0.000 0.000 0.500
Cr 0.000 0.500 0.000
Cr 0.000 0.500 0.500
Cr 0.500 0.000 0.000
Cr 0.500 0.000 0.500
Cr 0.500 0.500 0.000
Ag 0.500 0.500 0.500

Values from the calculation:
Symmetry   Fm-3m
Magnetic moment   0.0 μB per formula unit
Energy relative to the elements   50 kJ/mol of atoms
Fermi-level density of states   1.3840 states/eV per atom
VASP energy   -0.607 Ry/atom
Density   7.9 g/cm3


Record 13
Material: CrAg2
Method: DFT, PBE
State: relaxed

a = 5.450 Å, b = 5.450 Å, c = 5.450 Å
α = 60.00°, β = 60.00°, γ = 60.00°
Positions (direct):
Cr 0.125 0.125 0.125
Cr 0.875 0.875 0.875
Ag 0.000 0.500 0.500
Ag 0.500 0.000 0.500
Ag 0.500 0.500 0.000
Ag 0.500 0.500 0.500

Values from the calculation:
Symmetry   Fd-3m
Magnetic moment   4.7 μB per formula unit
Energy relative to the elements   52 kJ/mol of atoms
Fermi-level density of states   0.3975 states/eV per atom
VASP energy   -0.336 Ry/atom
Density   7.8 g/cm3


Record 14
Material: CrAg
Method: DFT, PBE
State: relaxed

a = 5.309 Å, b = 5.309 Å, c = 6.611 Å
α = 108.07°, β = 108.07°, γ = 33.63°
Positions (direct):
Cr 0.000 0.000 0.000
Cr 0.016 0.016 0.469
Cr 0.387 0.387 0.177
Ag 0.355 0.355 0.655
Ag 0.682 0.682 0.842
Ag 0.693 0.693 0.302

Values from the calculation:
Symmetry   Cm
Magnetic moment   1.3 μB per formula unit
Energy relative to the elements   40 kJ/mol of atoms
Fermi-level density of states   0.5657 states/eV per atom
VASP energy   -0.428 Ry/atom
Density   8.2 g/cm3


Record 15
Material: CrAg2
Method: DFT, PBE
State: relaxed

a = 5.532 Å, b = 5.532 Å, c = 7.022 Å
α = 106.62°, β = 106.62°, γ = 31.02°
Positions (direct):
Cr 0.188 0.188 0.142
Cr 0.812 0.812 0.858
Ag 0.141 0.141 0.531
Ag 0.466 0.466 0.191
Ag 0.534 0.534 0.809
Ag 0.859 0.859 0.469

Values from the calculation:
Symmetry   C2/m
Magnetic moment   4.3 μB per formula unit
Energy relative to the elements   41 kJ/mol of atoms
Fermi-level density of states   0.5665 states/eV per atom
VASP energy   -0.344 Ry/atom
Density   8.4 g/cm3


Record 16
Material: CrAg
Method: DFT, PBE
State: relaxed

a = 5.319 Å, b = 5.319 Å, c = 5.370 Å
α = 90.00°, β = 90.00°, γ = 90.00°
Positions (direct):
Cr 0.121 0.121 0.000
Cr 0.379 0.621 0.500
Cr 0.621 0.379 0.500
Cr 0.879 0.879 0.000
Ag 0.172 0.172 0.500
Ag 0.328 0.672 0.000
Ag 0.672 0.328 0.000
Ag 0.828 0.828 0.500

Values from the calculation:
Symmetry   P4_2/mnm
Magnetic moment   0.0 μB per formula unit
Energy relative to the elements   109 kJ/mol of atoms
Fermi-level density of states   0.8213 states/eV per atom
VASP energy   -0.375 Ry/atom
Density   7.0 g/cm3


Record 17
Material: Cr5Ag4
Method: DFT, PBE
State: relaxed

a = 7.107 Å, b = 7.107 Å, c = 7.107 Å
α = 92.72°, β = 92.72°, γ = 154.82°
Positions (direct):
Cr 0.000 0.000 0.000
Cr 0.349 0.349 0.697
Cr 0.349 0.651 0.000
Cr 0.651 0.349 0.000
Cr 0.651 0.651 0.303
Ag 0.000 0.329 0.329
Ag 0.000 0.671 0.671
Ag 0.329 0.000 0.329
Ag 0.671 0.000 0.671

Values from the calculation:
Symmetry   I4/mmm
Magnetic moment   12.2 μB per formula unit
Energy relative to the elements   52 kJ/mol of atoms
Fermi-level density of states   0.9077 states/eV per atom
VASP energy   -0.447 Ry/atom
Density   7.7 g/cm3


Record 18
Material: CrAg3
Method: DFT, PBE
State: relaxed

a = 8.695 Å, b = 8.695 Å, c = 8.695 Å
α = 152.48°, β = 152.48°, γ = 39.31°
Positions (direct):
Cr 0.125 0.125 0.000
Cr 0.875 0.875 0.000
Ag 0.000 0.500 0.500
Ag 0.250 0.750 0.500
Ag 0.375 0.375 0.000
Ag 0.500 0.000 0.500
Ag 0.625 0.625 0.000
Ag 0.750 0.250 0.500

Values from the calculation:
Symmetry   I4/mmm
Magnetic moment   4.3 μB per formula unit
Energy relative to the elements   26 kJ/mol of atoms
Fermi-level density of states   0.4204 states/eV per atom
VASP energy   -0.314 Ry/atom
Density   8.9 g/cm3


Record 19
Material: CrAg
Method: DFT, PBE
State: relaxed

a = 2.732 Å, b = 2.732 Å, c = 8.926 Å
α = 90.00°, β = 90.00°, γ = 114.66°
Positions (direct):
Cr 0.250 0.750 0.910
Cr 0.750 0.250 0.090
Ag 0.250 0.750 0.358
Ag 0.750 0.250 0.642

Values from the calculation:
Symmetry   Cmme
Magnetic moment   0.0 μB per formula unit
Energy relative to the elements   34 kJ/mol of atoms
Fermi-level density of states   0.6265 states/eV per atom
VASP energy   -0.433 Ry/atom
Density   8.8 g/cm3


Record 20
Material: CrAg
Method: DFT, PBE
State: relaxed

a = 4.852 Å, b = 4.852 Å, c = 7.535 Å
α = 109.37°, β = 109.37°, γ = 35.32°
Positions (direct):
Cr 0.000 0.000 0.000
Cr 0.351 0.351 0.139
Cr 0.649 0.649 0.861
Ag 0.000 0.000 0.500
Ag 0.324 0.324 0.681
Ag 0.676 0.676 0.319

Values from the calculation:
Symmetry   C2/m
Magnetic moment   1.2 μB per formula unit
Energy relative to the elements   42 kJ/mol of atoms
Fermi-level density of states   0.5457 states/eV per atom
VASP energy   -0.427 Ry/atom
Density   8.3 g/cm3


Record 21
Material: CrAg
Method: DFT, PBE
State: relaxed

a = 4.932 Å, b = 4.932 Å, c = 4.932 Å
α = 34.52°, β = 34.52°, γ = 34.52°
Positions (direct):
Cr 0.000 0.000 0.000
Ag 0.500 0.500 0.500

Values from the calculation:
Symmetry   R-3m
Magnetic moment   3.9 μB per formula unit
Energy relative to the elements   66 kJ/mol of atoms
Fermi-level density of states   1.0430 states/eV per atom
VASP energy   -0.408 Ry/atom
Density   7.7 g/cm3


Record 22
Material: CrAg
Method: DFT, PBE
State: relaxed

a = 5.060 Å, b = 5.060 Å, c = 5.060 Å
α = 132.50°, β = 132.50°, γ = 69.43°
Positions (direct):
Cr 0.375 0.625 0.750
Cr 0.625 0.375 0.250
Ag 0.125 0.875 0.250
Ag 0.875 0.125 0.750

Values from the calculation:
Symmetry   I4_1/amd
Magnetic moment   4.1 μB per formula unit
Energy relative to the elements   60 kJ/mol of atoms
Fermi-level density of states   1.1875 states/eV per atom
VASP energy   -0.413 Ry/atom
Density   7.7 g/cm3


Record 23
Material: CrAg2
Method: DFT, PBE
State: relaxed

a = 6.376 Å, b = 6.376 Å, c = 6.376 Å
α = 90.00°, β = 90.00°, γ = 90.00°
Positions (direct):
Cr 0.000 0.000 0.000
Cr 0.000 0.500 0.500
Cr 0.500 0.000 0.500
Cr 0.500 0.500 0.000
Ag 0.125 0.625 0.875
Ag 0.125 0.875 0.375
Ag 0.375 0.125 0.875
Ag 0.375 0.375 0.375
Ag 0.625 0.625 0.625
Ag 0.625 0.875 0.125
Ag 0.875 0.125 0.625
Ag 0.875 0.375 0.125

Values from the calculation:
Symmetry   Pa-3
Magnetic moment   4.3 μB per formula unit
Energy relative to the elements   93 kJ/mol of atoms
Fermi-level density of states   0.6306 states/eV per atom
VASP energy   -0.305 Ry/atom
Density   6.9 g/cm3


Record 24
Material: CrAg3
Method: DFT, PBE
State: relaxed

a = 3.027 Å, b = 4.729 Å, c = 4.939 Å
α = 90.00°, β = 90.00°, γ = 90.00°
Positions (direct):
Cr 0.000 0.000 0.000
Ag 0.000 0.500 0.652
Ag 0.500 0.000 0.499
Ag 0.500 0.500 0.147

Values from the calculation:
Symmetry   Pmm2
Magnetic moment   4.3 μB per formula unit
Energy relative to the elements   30 kJ/mol of atoms
Fermi-level density of states   0.5105 states/eV per atom
VASP energy   -0.311 Ry/atom
Density   8.8 g/cm3


Record 25
Material: CrAg5
Method: DFT, PBE
State: relaxed

a = 5.625 Å, b = 5.625 Å, c = 6.896 Å
α = 105.33°, β = 105.33°, γ = 30.48°
Positions (direct):
Cr 0.000 0.000 0.000
Ag 0.281 0.281 0.060
Ag 0.336 0.336 0.670
Ag 0.614 0.614 0.731
Ag 0.665 0.665 0.330
Ag 0.948 0.948 0.392

Values from the calculation:
Symmetry   Cm
Magnetic moment   4.4 μB per formula unit
Energy relative to the elements   20 kJ/mol of atoms
Fermi-level density of states   0.2644 states/eV per atom
VASP energy   -0.277 Ry/atom
Density   9.2 g/cm3


Record 26
Material: Cr3Ag2
Method: DFT, PBE
State: relaxed

a = 11.060 Å, b = 11.060 Å, c = 11.060 Å
α = 14.83°, β = 14.83°, γ = 14.83°
Positions (direct):
Cr 0.000 0.000 0.000
Cr 0.190 0.190 0.190
Cr 0.810 0.810 0.810
Ag 0.405 0.405 0.405
Ag 0.595 0.595 0.595

Values from the calculation:
Symmetry   R-3m
Magnetic moment   4.0 μB per formula unit
Energy relative to the elements   54 kJ/mol of atoms
Fermi-level density of states   1.1202 states/eV per atom
VASP energy   -0.467 Ry/atom
Density   8.0 g/cm3


Record 27
Material: CrAg
Method: DFT, PBE
State: relaxed

a = 4.337 Å, b = 4.337 Å, c = 4.337 Å
α = 60.00°, β = 60.00°, γ = 60.00°
Positions (direct):
Cr 0.000 0.000 0.000
Ag 0.750 0.750 0.750

Values from the calculation:
Symmetry   F-43m
Magnetic moment   4.8 μB per formula unit
Energy relative to the elements   145 kJ/mol of atoms
Fermi-level density of states   0.4997 states/eV per atom
VASP energy   -0.348 Ry/atom
Density   4.6 g/cm3